Here is Lu3Si after structural relaxation from Alexandria via LeMat-Bulk. Energies are from PBE.

Cell: 3.8862 3.8847 7.2873 Å, 90.00 90.00 90.00°
Last column: nearest neighbours and their distance in Å.
Fractional coordinates of all 4 atoms:
Si  0.0000  0.0000  0.0830  4 Lu 2.75
Lu  0.0000  0.5000  0.4364  6 Lu 3.22-3.48, 2 Si 3.23
Lu  0.5000  0.5000  0.0835  4 Si 2.75
Lu  0.5000  0.0000  0.7305  2 Si 3.22, 6 Lu 3.22-3.48

Calculated values
Uncorrected energy in eV per atom: -4.806
Space group: P-4m2